[1]
Cr2SiCl PBE optimized geometry; E = -49.8 eV/cell; relative energy among the computed polymorphs = 0.3990 eV/atom; raw formation energy = 0.408 eV/atom
1.0
-3.216 3.216 3.741
3.216 -3.216 3.741
3.216 3.216 -3.741
Cr Si Cl
4 2 2
direct
0.117 0.625 0.992
0.375 0.367 0.492
0.633 0.125 0.008
0.875 0.883 0.508
0.000 0.000 0.000
0.750 0.250 0.500
0.250 0.750 0.500
0.500 0.500 0.000

=====

[2]
AcPmHoAu PBE optimized geometry; E = -16.8 eV/cell; energy of formation from the pure elements = -0.018 eV/atom
1.0
0.000 3.877 3.877
3.877 0.000 3.877
3.877 3.877 0.000
Ac Pm Ho Au
1 1 1 1
direct
0.000 0.000 0.000
0.750 0.750 0.750
0.250 0.250 0.250
0.500 0.500 0.500

=====

[3]
Li3Pa3VSe8 PBE optimized geometry; E = -89.4 eV/cell; raw formation energy = -1.209 eV/atom
1.0
6.836 -3.948 0.000
6.836 3.948 0.000
-4.562 0.000 6.666
Li Pa V Se
3 3 1 8
direct
0.000 0.000 0.000
0.000 0.500 0.000
0.500 0.000 0.000
0.000 0.500 0.500
0.500 0.000 0.500
0.500 0.500 0.500
0.000 0.000 0.500
0.229 0.763 0.256
0.237 0.237 0.744
0.237 0.771 0.744
0.244 0.244 0.232
0.756 0.756 0.768
0.763 0.229 0.256
0.763 0.763 0.256
0.771 0.237 0.744

=====

[4]
ZrPdRh PBE optimized geometry; E = -136.8 eV/cell; relative energy among the computed polymorphs = 0.2120 eV/atom; energy of formation from the pure elements = -0.571 eV/atom
1.0
-3.822 5.651 3.663
3.822 -5.651 3.663
3.822 5.651 -3.663
Zr Pd Rh
6 6 6
direct
0.174 0.025 0.199
0.174 0.475 0.650
0.440 0.749 0.190
0.559 0.249 0.810
0.826 0.525 0.350
0.826 0.975 0.801
0.003 0.488 0.015
0.129 0.053 0.576
0.472 0.988 0.985
0.477 0.553 0.424
0.885 0.163 0.222
0.941 0.663 0.778
0.242 0.242 0.000
0.242 0.742 0.500
0.536 0.219 0.448
0.536 0.588 0.817
0.771 0.088 0.552
0.771 0.719 0.183